A relaxed EuMgAgPd crystal. Source: Alexandria, functional PBE.

Computed properties:
Formation energy = -390 meV/atom
Crystal system = cubic

a b c (Å): 7.057 7.057 7.057
angles (deg): 90.00 90.00 90.00
Element x y z (fractional)
Eu  0.000  0.000  0.000
Eu  0.000  0.500  0.500
Eu  0.500  0.000  0.500
Eu  0.500  0.500  0.000
Mg  0.000  0.000  0.500
Mg  0.000  0.500  0.000
Mg  0.500  0.000  0.000
Mg  0.500  0.500  0.500
Ag  0.250  0.250  0.250
Ag  0.250  0.750  0.750
Ag  0.750  0.250  0.750
Ag  0.750  0.750  0.250
Pd  0.250  0.250  0.750
Pd  0.250  0.750  0.250
Pd  0.750  0.250  0.250
Pd  0.750  0.750  0.750

=====

A relaxed PmEuMgAg crystal. Source: Alexandria, functional PBE.

Computed properties:
Formation energy = -129 meV/atom
Crystal system = cubic

a b c (Å): 7.694 7.694 7.694
angles (deg): 90.00 90.00 90.00
Element x y z (fractional)
Pm  0.000  0.000  0.000
Pm  0.000  0.500  0.500
Pm  0.500  0.000  0.500
Pm  0.500  0.500  0.000
Eu  0.000  0.000  0.500
Eu  0.000  0.500  0.000
Eu  0.500  0.000  0.000
Eu  0.500  0.500  0.500
Mg  0.250  0.250  0.750
Mg  0.250  0.750  0.250
Mg  0.750  0.250  0.250
Mg  0.750  0.750  0.750
Ag  0.250  0.250  0.250
Ag  0.250  0.750  0.750
Ag  0.750  0.250  0.750
Ag  0.750  0.750  0.250

=====

A relaxed PrEuMgAg crystal. Source: Alexandria, functional PBE.

Computed properties:
Formation energy = -130 meV/atom
Crystal system = cubic

a b c (Å): 7.753 7.753 7.753
angles (deg): 90.00 90.00 90.00
Element x y z (fractional)
Pr  0.000  0.000  0.000
Pr  0.000  0.500  0.500
Pr  0.500  0.000  0.500
Pr  0.500  0.500  0.000
Eu  0.000  0.000  0.500
Eu  0.000  0.500  0.000
Eu  0.500  0.000  0.000
Eu  0.500  0.500  0.500
Mg  0.250  0.250  0.250
Mg  0.250  0.750  0.750
Mg  0.750  0.250  0.750
Mg  0.750  0.750  0.250
Ag  0.250  0.250  0.750
Ag  0.250  0.750  0.250
Ag  0.750  0.250  0.250
Ag  0.750  0.750  0.750

=====

A relaxed EuMgSiAg crystal. Source: Alexandria, functional PBE.

Computed properties:
E_form (uncorrected) = -0.246 eV per atom
Crystal system = cubic

a b c (Å): 7.018 7.018 7.018
angles (deg): 90.00 90.00 90.00
Element x y z (fractional)
Eu  0.000  0.000  0.000
Eu  0.000  0.500  0.500
Eu  0.500  0.000  0.500
Eu  0.500  0.500  0.000
Mg  0.000  0.000  0.500
Mg  0.000  0.500  0.000
Mg  0.500  0.000  0.000
Mg  0.500  0.500  0.500
Si  0.250  0.250  0.750
Si  0.250  0.750  0.250
Si  0.750  0.250  0.250
Si  0.750  0.750  0.750
Ag  0.250  0.250  0.250
Ag  0.250  0.750  0.750
Ag  0.750  0.250  0.750
Ag  0.750  0.750  0.250

=====

A relaxed EuMgAgSn crystal. Source: Alexandria, functional PBE.

Computed properties:
Formation energy = -378 meV/atom
Crystal system = cubic

a b c (Å): 7.318 7.318 7.318
angles (deg): 90.00 90.00 90.00
Element x y z (fractional)
Eu  0.000  0.000  0.000
Eu  0.000  0.500  0.500
Eu  0.500  0.000  0.500
Eu  0.500  0.500  0.000
Mg  0.000  0.000  0.500
Mg  0.000  0.500  0.000
Mg  0.500  0.000  0.000
Mg  0.500  0.500  0.500
Ag  0.250  0.250  0.750
Ag  0.250  0.750  0.250
Ag  0.750  0.250  0.250
Ag  0.750  0.750  0.750
Sn  0.250  0.250  0.250
Sn  0.250  0.750  0.750
Sn  0.750  0.250  0.750
Sn  0.750  0.750  0.250

=====

A relaxed SrEuMgAg crystal. Source: Alexandria, functional PBE.

Computed properties:
Formation energy = -127 meV/atom
Crystal system = cubic

a b c (Å): 7.969 7.969 7.969
angles (deg): 90.00 90.00 90.00
Element x y z (fractional)
Sr  0.000  0.000  0.000
Sr  0.000  0.500  0.500
Sr  0.500  0.000  0.500
Sr  0.500  0.500  0.000
Eu  0.000  0.000  0.500
Eu  0.000  0.500  0.000
Eu  0.500  0.000  0.000
Eu  0.500  0.500  0.500
Mg  0.250  0.250  0.750
Mg  0.250  0.750  0.250
Mg  0.750  0.250  0.250
Mg  0.750  0.750  0.750
Ag  0.250  0.250  0.250
Ag  0.250  0.750  0.750
Ag  0.750  0.250  0.750
Ag  0.750  0.750  0.250

=====

A relaxed EuMgZnAg crystal. Source: Alexandria, functional PBE.

Computed properties:
Formation energy = -209 meV/atom
Crystal system = cubic

a b c (Å): 7.152 7.152 7.152
angles (deg): 90.00 90.00 90.00
Element x y z (fractional)
Eu  0.000  0.000  0.000
Eu  0.000  0.500  0.500
Eu  0.500  0.000  0.500
Eu  0.500  0.500  0.000
Mg  0.000  0.000  0.500
Mg  0.000  0.500  0.000
Mg  0.500  0.000  0.000
Mg  0.500  0.500  0.500
Zn  0.250  0.250  0.750
Zn  0.250  0.750  0.250
Zn  0.750  0.250  0.250
Zn  0.750  0.750  0.750
Ag  0.250  0.250  0.250
Ag  0.250  0.750  0.750
Ag  0.750  0.250  0.750
Ag  0.750  0.750  0.250

=====

A relaxed Eu3AgN crystal. Source: Alexandria, functional PBE.

Computed properties:
E_form (uncorrected) = -0.515 eV per atom
Crystal system = cubic

a b c (Å): 5.057 5.057 5.057
angles (deg): 90.00 90.00 90.00
Element x y z (fractional)
Eu  0.000  0.000  0.500
Eu  0.000  0.500  0.000
Eu  0.500  0.000  0.000
Ag  0.500  0.500  0.500
N  0.000  0.000  0.000

=====

A relaxed NaEuAg crystal. Source: Alexandria, functional PBE.

Computed properties:
Formation energy = -63 meV/atom
Crystal system = tetragonal
E above lowest polymorph = 0.00 eV/f.u.

a b c (Å): 3.778 3.778 12.768
angles (deg): 90.00 90.00 90.00
Element x y z (fractional)
Na  0.000  0.000  0.000
Na  0.500  0.500  0.500
Eu  0.000  0.000  0.280
Eu  0.500  0.500  0.780
Ag  0.000  0.000  0.635
Ag  0.500  0.500  0.135

=====

A relaxed NaEu3Ag crystal. Source: Alexandria, functional PBE.

Computed properties:
Formation energy = 16 meV/atom
Crystal system = cubic

a b c (Å): 6.055 6.055 6.055
angles (deg): 90.00 90.00 90.00
Element x y z (fractional)
Na  0.000  0.000  0.000
Eu  0.000  0.500  0.500
Eu  0.500  0.000  0.500
Eu  0.500  0.500  0.000
Ag  0.500  0.500  0.500

=====

A relaxed Na2EuAg crystal. Source: Alexandria, functional PBE.

Computed properties:
Formation energy = 82 meV/atom
Crystal system = tetragonal
E above lowest polymorph = 0.32 eV/f.u.

a b c (Å): 3.748 3.748 8.978
angles (deg): 90.00 90.00 90.00
Element x y z (fractional)
Na  0.000  0.000  0.184
Na  0.000  0.000  0.816
Eu  0.500  0.500  0.500
Ag  0.500  0.500  0.000

=====

A relaxed NaEu2Ag crystal. Source: Alexandria, functional PBE.

Computed properties:
Formation energy = -114 meV/atom
Crystal system = tetragonal
E above lowest polymorph = 0.00 eV/f.u.

a b c (Å): 3.849 3.849 9.223
angles (deg): 90.00 90.00 90.00
Element x y z (fractional)
Na  0.000  0.000  0.000
Eu  0.500  0.500  0.301
Eu  0.500  0.500  0.699
Ag  0.000  0.000  0.500

=====

| no. | DOS(E_F) (states/eV/cell) | size of the total moment (μB/cell) |
| --- | --- | --- |
| 1 | 47.8 | 27.98 |
| 2 | 32.9 | 29.02 |
| 3 | 37.8 | 29.35 |
| 4 | 27.1 | 27.77 |
| 5 | 33.2 | 27.97 |
| 6 | 46.7 | 29.63 |
| 7 | 34.4 | 29.67 |
| 8 | 6.3 | 21.40 |
| 9 | 20.4 | 14.81 |
| 10 | 33.1 | 22.03 |
| 11 | 9.1 | 7.74 |
| 12 | 18.6 | 14.73 |